The following is a PBE calculation of a relaxed structure of KNaNp, from the Open Quantum Materials Database.

The structure belongs to space group F-43m (No. 216); the cell edges are 8.382, 8.382 and 8.382 Å and the angles 90.00°, 90.00° and 90.00°. The distinct sites, in fractional coordinates, are K at (0.000, 0.000, 0.000), Na at (0.250, 0.250, 0.250) and Np at (0.000, 0.000, 0.500).

The value obtained for the uncorrected energy is -0.270 Ry/atom. Its crystal system is cubic.

=====

The following is a PBE calculation of a relaxed structure of HfZr2Fe2, from the Open Quantum Materials Database.

The structure belongs to space group I4/mmm (No. 139); the cell edges are 4.207, 4.207 and 10.383 Å and the angles 90.00°, 90.00° and 90.00°. The distinct sites, in fractional coordinates, are Hf at (0.000, 0.000, 0.000), Zr at (0.000, 0.500, 0.250) and Fe at (0.000, 0.000, 0.402).

For the formation energy, the calculation gives 57 kJ/mol of formula units. Its crystal system is tetragonal.

=====

The following is a PBE calculation of a relaxed structure of Hf4CoN2, from the Open Quantum Materials Database.

The structure belongs to space group Cmcm (No. 63); the cell edges are 3.236, 10.838 and 11.489 Å and the angles 90.00°, 90.00° and 90.00°. The distinct sites, in fractional coordinates, are Hf at (0.000, 0.000, 0.000), Hf at (0.000, 0.270, 0.112), Hf at (0.000, 0.434, 0.750), Co at (0.000, 0.111, 0.750) and N at (0.000, 0.366, 0.559).

The value obtained for the uncorrected energy is -0.757 Ry/atom. Its crystal system is orthorhombic.

=====

Number 1: total magnetic moment 22.812 Bohr magnetons per cell. Number 2: total magnetic moment 0.577 Bohr magnetons per cell. Number 3: total magnetic moment 0.019 Bohr magnetons per cell.